# 1
P4PtBr, optimized geometry, DFT PBE; volume = 120.4 Å³/cell; energy relative to the elements, uncorrected = 4.47 eV/f.u.; DOS at the Fermi energy = 8.94 states/eV/cell
1.0
0.000 3.919 3.919
3.919 0.000 3.919
3.919 3.919 0.000
Br Pt P
1 1 4
Cartesian
0.000 0.000 0.000
5.879 5.879 5.879
5.086 5.086 2.753
2.753 2.753 2.753
2.753 5.086 5.086
5.086 2.753 5.086

***

# 2
HoInPtO6, optimized geometry, DFT PBE; volume = 233.4 Å³/cell; energy relative to the elements, uncorrected = -12.87 eV/f.u.; DOS at the Fermi energy = 12.30 states/eV/cell
1.0
5.502 0.000 0.000
-2.751 4.765 0.000
0.000 0.000 8.904
O Ho In Pt
12 2 2 2
Cartesian
3.568 3.029 3.335
1.911 0.160 1.117
-1.656 3.190 7.787
-0.817 1.736 5.569
1.095 1.575 3.335
0.817 1.736 7.787
0.840 4.604 7.787
1.656 3.190 5.569
3.590 0.160 3.335
4.407 1.575 1.117
1.934 3.029 1.117
-0.840 4.604 5.569
0.000 3.177 2.226
2.751 1.588 6.678
0.000 0.000 0.000
0.000 0.000 4.452
0.000 3.177 6.678
2.751 1.588 2.226

***

# 3
NpUOsRh, optimized geometry, DFT PBE; volume = 68.8 Å³/cell; DOS at the Fermi energy = 4.62 states/eV/cell; ΔE_f = -0.27 eV per atom
1.0
-0.256 -4.510 -0.868
0.906 -1.585 -4.222
3.838 -2.415 -0.775
Os Np U Rh
1 1 1 1
Cartesian
1.122 -2.128 -1.466
3.366 -6.383 -4.399
2.244 -4.255 -2.932
0.000 0.000 0.000

***

# 4
NbTcBr2, optimized geometry, DFT PBE; volume = 77.8 Å³/cell; energy relative to the elements, uncorrected = 1.86 eV/f.u.; DOS at the Fermi energy = 4.10 states/eV/cell; E above lowest polymorph = 0 meV per atom
1.0
-2.478 -8.706 0.102
0.342 -8.943 -1.356
0.195 -8.864 1.823
Br Tc Nb
2 1 1
Cartesian
-0.181 -2.474 0.053
-1.760 -24.039 0.516
0.000 0.000 0.000
-0.971 -13.257 0.285

***

# 5
NaSc2TcTe, optimized geometry, DFT PBE; volume = 129.6 Å³/cell; energy relative to the elements, uncorrected = 1.17 eV/f.u.; DOS at the Fermi energy = 3.53 states/eV/cell
1.0
4.910 0.000 0.000
0.000 5.374 0.000
0.000 0.000 4.910
Tc Sc Te Na
1 2 1 1
Cartesian
0.000 0.000 0.000
2.455 0.000 0.000
0.000 0.000 2.455
2.455 2.687 2.455
0.000 2.687 0.000

***

# 6
Zr2AlSi, optimized geometry, DFT PBE; volume = 78.1 Å³/cell; energy relative to the elements, uncorrected = -0.94 eV/f.u.; DOS at the Fermi energy = 2.95 states/eV/cell; E above lowest polymorph = 500 meV per atom
1.0
-5.390 -7.776 0.721
-4.753 -7.316 3.731
-7.117 -5.801 2.393
Zr Si Al
2 1 1
Cartesian
-8.575 -10.380 3.400
-0.055 -0.067 0.022
-12.945 -15.670 5.133
-4.315 -5.223 1.711

***

What is the DOS at the Fermi energy in the fifth record?
3.53 states/eV/cell